The following is a DFT calculation (PBE-GGA) of Zr2ZnIn5 after structural relaxation.

Calculated values
- DOS at the Fermi energy (states/eV/cell) = 6.8
- size of the total moment (Bohr magnetons per cell) = 0.00
- symmetry = No. 55
- total DFT energy (no corrections) (eV/atom) = -4.224
- calculated volume (Å³/cell) = 347.0
- energy of formation from the pure elements (eV per atom) = -0.22

Cell lengths 6.278, 12.524, 4.413 Å; angles 90.00, 90.00, 90.00 degrees
Fractional positions:
1 Zr 0.247 0.125 0.000
2 Zr 0.253 0.625 0.000
3 Zr 0.747 0.375 0.000
4 Zr 0.753 0.875 0.000
5 Zn 0.000 0.500 0.500
6 Zn 0.500 0.000 0.500
7 In 0.000 0.000 0.500
8 In 0.004 0.745 0.500
9 In 0.239 0.380 0.000
10 In 0.261 0.880 0.000
11 In 0.496 0.245 0.500
12 In 0.500 0.500 0.500
13 In 0.504 0.755 0.500
14 In 0.739 0.120 0.000
15 In 0.761 0.620 0.000
16 In 0.996 0.255 0.500